(1)
VASP calculation (PBEsol) on a relaxed structure of Ba2NaLi2. Values from VASP.

Computed properties:
DFT formation energy = 48 meV/atom
magnetization = 0.00 μB per formula unit
mass density = 2.48 g/cm3

Cell and atoms, written as Quantum ESPRESSO input:
```
&SYSTEM
  ibrav = 0, nat = 10, ntyp = 3
/
ATOMIC_SPECIES
Li 6.94 Li.upf
Ba 137.33 Ba.upf
Na 22.99 Na.upf
CELL_PARAMETERS angstrom
5.103 0.000 0.000
0.000 9.038 0.000
0.000 0.000 9.038
ATOMIC_POSITIONS angstrom
Li 0.000 5.586 1.067
Li 0.000 7.971 5.586
Li 0.000 3.452 7.971
Li 0.000 1.067 3.452
Ba 2.552 6.108 7.450
Ba 2.552 7.450 2.930
Ba 2.552 1.589 6.108
Ba 2.552 2.930 1.589
Na 0.000 4.519 4.519
Na 0.000 0.000 0.000
```



(2)
VASP calculation (PBEsol) on a relaxed structure of Eu2Mn2O7. Values from VASP.

Computed properties:
ΔE_f (raw) = -25.23 eV/f.u.
magnetization = 18.00 μB per formula unit
mass density = 7.04 g/cm3

Cell and atoms, written as Quantum ESPRESSO input:
```
&SYSTEM
  ibrav = 0, nat = 22, ntyp = 3
/
ATOMIC_SPECIES
Mn 54.94 Mn.upf
O 16.00 O.upf
Eu 151.96 Eu.upf
CELL_PARAMETERS angstrom
7.053 0.000 0.000
3.526 6.108 0.000
3.526 2.036 5.759
ATOMIC_POSITIONS angstrom
Mn 5.290 1.018 0.720
Mn 1.763 1.018 0.720
Mn 3.526 2.036 3.599
Mn 3.526 4.072 0.720
O 2.128 1.228 2.582
O 7.053 4.072 2.879
O 3.526 0.421 0.298
O 4.925 2.844 4.617
O 4.925 1.228 2.582
O 4.925 5.300 1.142
O 4.925 2.844 0.298
O 7.053 1.615 1.142
O 10.579 6.108 4.319
O 9.181 5.300 1.142
O 9.181 2.844 4.617
O 3.526 3.651 2.582
O 7.053 6.529 4.617
O 2.128 2.844 0.298
Eu 8.816 5.090 3.599
Eu 5.290 5.090 3.599
Eu 7.053 4.072 0.720
Eu 7.053 2.036 3.599
```



(3)
VASP calculation (PBEsol) on a relaxed structure of Ca3AgOs. Values from VASP.

Computed properties:
DFT formation energy = 1049 meV/atom
magnetization = 1.43 μB per formula unit
mass density = 4.58 g/cm3

Cell and atoms, written as Quantum ESPRESSO input:
```
&SYSTEM
  ibrav = 0, nat = 5, ntyp = 3
/
ATOMIC_SPECIES
Ca 40.08 Ca.upf
Os 190.23 Os.upf
Ag 107.87 Ag.upf
CELL_PARAMETERS angstrom
-0.671 2.826 4.473
2.454 -3.829 2.787
4.688 2.408 -0.819
ATOMIC_POSITIONS angstrom
Ca 1.227 -1.914 1.393
Ca -0.335 1.413 2.237
Ca 2.344 1.204 -0.410
Os 3.236 0.703 3.220
Ag 0.000 0.000 0.000
```



(4)
VASP calculation (PBEsol) on a relaxed structure of CsRbH2. Values from VASP.

Computed properties:
DFT total energy = -9.1 eV for the cell shown
magnetization = 0.00 μB per formula unit
mass density = 3.88 g/cm3

Cell and atoms, written as Quantum ESPRESSO input:
```
&SYSTEM
  ibrav = 0, nat = 4, ntyp = 3
/
ATOMIC_SPECIES
Cs 132.91 Cs.upf
Rb 85.47 Rb.upf
H 1.01 H.upf
CELL_PARAMETERS angstrom
-1.223 4.961 0.103
-2.708 2.044 -3.822
-4.847 1.421 0.777
ATOMIC_POSITIONS angstrom
Cs -4.389 4.213 -1.471
Rb 0.000 0.000 0.000
H -6.583 6.320 -2.206
H -2.194 2.107 -0.735
```



(5)
VASP calculation (PBEsol) on a relaxed structure of MgCo3Ru. Values from VASP.

Computed properties:
DFT formation energy = 1255 meV/atom
magnetization = 2.91 μB per formula unit
mass density = 5.98 g/cm3

Cell and atoms, written as Quantum ESPRESSO input:
```
&SYSTEM
  ibrav = 0, nat = 5, ntyp = 3
/
ATOMIC_SPECIES
Mg 24.30 Mg.upf
Co 58.93 Co.upf
Ru 101.07 Ru.upf
CELL_PARAMETERS angstrom
-2.045 -3.797 0.756
-0.345 -0.673 -4.313
3.857 -2.074 0.015
ATOMIC_POSITIONS angstrom
Mg 0.733 -3.272 -1.771
Co -0.172 -0.337 -2.157
Co 1.928 -1.037 0.008
Co -1.023 -1.899 0.378
Ru 0.000 0.000 0.000
```



(6)
VASP calculation (PBEsol) on a relaxed structure of ReGeAu3. Values from VASP.

Computed properties:
DFT formation energy = 1427 meV/atom
magnetization = 0.00 μB per formula unit
mass density = 11.74 g/cm3

Cell and atoms, written as Quantum ESPRESSO input:
```
&SYSTEM
  ibrav = 0, nat = 5, ntyp = 3
/
ATOMIC_SPECIES
Re 186.21 Re.upf
Au 196.97 Au.upf
Ge 72.64 Ge.upf
CELL_PARAMETERS angstrom
4.935 0.000 0.000
0.000 4.935 0.000
0.000 0.000 4.935
ATOMIC_POSITIONS angstrom
Re 0.000 0.000 0.000
Au 2.467 0.000 0.000
Au 0.000 0.000 2.467
Au 0.000 2.467 0.000
Ge 2.467 2.467 2.467
```



(7)
VASP calculation (PBEsol) on a relaxed structure of SbBr2N. Values from VASP.

Computed properties:
ΔE_f (raw) = 4.69 eV/f.u.
magnetization = 2.12 μB per formula unit
mass density = 5.41 g/cm3

Cell and atoms, written as Quantum ESPRESSO input:
```
&SYSTEM
  ibrav = 0, nat = 4, ntyp = 3
/
ATOMIC_SPECIES
Br 79.90 Br.upf
N 14.01 N.upf
Sb 121.76 Sb.upf
CELL_PARAMETERS angstrom
-2.207 1.231 -2.419
-1.170 -2.108 -2.534
-7.771 -2.526 3.277
ATOMIC_POSITIONS angstrom
Br -5.701 -1.830 1.742
Br -5.447 -1.573 -3.418
N -5.574 -1.702 -0.838
Sb 0.000 0.000 0.000
```



(8)
VASP calculation (PBEsol) on a relaxed structure of LaMoS3. Values from VASP.

Computed properties:
ΔE_f (raw) = 2.81 eV/f.u.
magnetization = 2.97 μB per formula unit
mass density = 3.59 g/cm3

Cell and atoms, written as Quantum ESPRESSO input:
```
&SYSTEM
  ibrav = 0, nat = 5, ntyp = 3
/
ATOMIC_SPECIES
S 32.06 S.upf
La 138.91 La.upf
Mo 95.94 Mo.upf
CELL_PARAMETERS angstrom
5.352 0.000 0.000
0.000 5.352 0.000
0.000 0.000 5.352
ATOMIC_POSITIONS angstrom
S 2.676 0.000 0.000
S 0.000 2.676 0.000
S 0.000 0.000 2.676
La 0.000 0.000 0.000
Mo 2.676 2.676 2.676
```



(9)
VASP calculation (PBEsol) on a relaxed structure of Ba4ScTi4BiO15. Values from VASP.

Computed properties:
ΔE_f (raw) = -73.66 eV/f.u.
magnetization = 0.00 μB per formula unit
mass density = 6.44 g/cm3

Cell and atoms, written as Quantum ESPRESSO input:
```
&SYSTEM
  ibrav = 0, nat = 25, ntyp = 5
/
ATOMIC_SPECIES
O 16.00 O.upf
Ti 47.87 Ti.upf
Ba 137.33 Ba.upf
Bi 208.98 Bi.upf
Sc 44.96 Sc.upf
CELL_PARAMETERS angstrom
-0.638 3.666 1.442
-5.320 -1.446 1.325
6.976 -3.520 12.031
ATOMIC_POSITIONS angstrom
O 3.169 0.073 6.737
O 0.810 -4.135 10.870
O 2.589 -2.545 7.613
O 1.385 -1.496 9.937
O -2.660 -0.723 0.663
O 5.007 -1.596 11.793
O 2.128 -2.379 12.510
O -3.002 -0.521 5.519
O 4.021 -0.779 9.280
O -1.110 1.079 2.289
O 0.846 -0.831 2.487
O -0.932 -2.421 5.743
O 0.509 -0.650 7.400
O -0.367 0.196 4.862
O -3.988 0.296 3.006
Ti 0.477 -2.287 11.547
Ti 2.271 -0.713 8.338
Ti 0.542 0.987 3.252
Ti -1.252 -0.587 6.461
Ba 1.727 -1.697 5.078
Ba -0.071 -3.269 8.279
Ba 3.453 -3.395 10.157
Ba -1.797 -1.571 3.200
Bi 0.000 0.000 0.000
Sc -2.979 1.110 1.384
```



(10)
VASP calculation (PBEsol) on a relaxed structure of Rb6Ti2O7. Values from VASP.

Computed properties:
ΔE_f (raw) = -32.94 eV/f.u.
magnetization = 0.00 μB per formula unit
mass density = 3.82 g/cm3

Cell and atoms, written as Quantum ESPRESSO input:
```
&SYSTEM
  ibrav = 0, nat = 30, ntyp = 3
/
ATOMIC_SPECIES
Ti 47.87 Ti.upf
Rb 85.47 Rb.upf
O 16.00 O.upf
CELL_PARAMETERS angstrom
6.796 0.000 0.017
0.000 9.556 0.000
-0.389 0.000 9.655
ATOMIC_POSITIONS angstrom
Ti 2.980 6.123 1.270
Ti 6.184 8.211 6.106
Ti 0.224 1.345 3.566
Ti 3.427 3.433 8.402
Rb 5.840 7.561 2.728
Rb 2.248 6.773 7.547
Rb 4.715 0.250 9.206
Rb 5.613 6.233 8.963
Rb 0.795 3.323 0.709
Rb 4.897 5.028 5.302
Rb 1.693 9.306 0.466
Rb 1.511 4.528 4.370
Rb 4.160 2.783 2.125
Rb 2.409 8.101 4.127
Rb 0.568 1.995 6.944
Rb 3.999 1.455 5.544
O 5.217 3.152 8.378
O 6.405 0.892 1.949
O 2.547 1.961 8.965
O 2.812 3.886 6.768
O 6.140 2.817 4.146
O 1.191 6.404 1.294
O 3.860 7.595 0.707
O 3.398 4.778 0.009
O 0.003 8.664 7.722
O 0.268 6.739 5.525
O 3.596 5.670 2.904
O -0.194 0.000 4.827
O 2.013 1.626 3.542
O 4.394 7.930 6.130
```



(11)
VASP calculation (PBEsol) on a relaxed structure of TlHF2. Values from VASP.

Computed properties:
DFT total energy = -16.7 eV for the cell shown
magnetization = 0.00 μB per formula unit
mass density = 5.33 g/cm3

Cell and atoms, written as Quantum ESPRESSO input:
```
&SYSTEM
  ibrav = 0, nat = 4, ntyp = 3
/
ATOMIC_SPECIES
H 1.01 H.upf
Tl 204.38 Tl.upf
F 19.00 F.upf
CELL_PARAMETERS angstrom
4.199 0.000 0.000
2.100 3.637 0.000
2.100 1.212 4.967
ATOMIC_POSITIONS angstrom
H 0.000 0.000 0.000
Tl 4.199 2.424 2.483
F 6.299 3.637 1.147
F 2.100 1.212 3.820
```



(12)
VASP calculation (PBEsol) on a relaxed structure of Ca5Al3. Values from VASP.

Computed properties:
DFT formation energy = -113 meV/atom
magnetization = 0.00 μB per formula unit
mass density = 2.12 g/cm3

Cell and atoms, written as Quantum ESPRESSO input:
```
&SYSTEM
  ibrav = 0, nat = 8, ntyp = 2
/
ATOMIC_SPECIES
Al 26.98 Al.upf
Ca 40.08 Ca.upf
CELL_PARAMETERS angstrom
5.246 0.000 0.000
0.000 6.618 -0.032
0.000 -1.842 6.357
ATOMIC_POSITIONS angstrom
Al 2.623 4.661 1.446
Al 0.000 2.388 3.162
Al 2.623 0.115 4.879
Ca 0.000 3.309 -0.016
Ca 2.623 1.338 1.772
Ca 2.623 3.438 4.552
Ca 0.000 -0.921 3.178
Ca 0.000 0.000 0.000
```



What did the sixth record say?
VASP calculation (PBEsol) on a relaxed structure of ReGeAu3. Values from VASP.

Computed properties:
DFT formation energy = 1427 meV/atom
magnetization = 0.00 μB per formula unit
mass density = 11.74 g/cm3

Cell and atoms, written as Quantum ESPRESSO input:
```
&SYSTEM
  ibrav = 0, nat = 5, ntyp = 3
/
ATOMIC_SPECIES
Re 186.21 Re.upf
Au 196.97 Au.upf
Ge 72.64 Ge.upf
CELL_PARAMETERS angstrom
4.935 0.000 0.000
0.000 4.935 0.000
0.000 0.000 4.935
ATOMIC_POSITIONS angstrom
Re 0.000 0.000 0.000
Au 2.467 0.000 0.000
Au 0.000 0.000 2.467
Au 0.000 2.467 0.000
Ge 2.467 2.467 2.467
```